NiIO2 | PBE+U | optimized geometry

```
NiIO2
1.0
-2.738 2.738 4.291
2.738 -2.738 4.291
2.738 2.738 -4.291
Ni I O
2 2 4
direct
0.000 0.000 0.000
0.750 0.250 0.500
0.250 0.750 0.500
0.500 0.500 0.000
0.007 0.625 0.882
0.375 0.257 0.382
0.743 0.125 0.118
0.875 0.993 0.618
```

Summary:
Theoretical density = 5.6 g/cm³
DFT total energy = -3.370 eV per atom
M_tot = 2.827 μB/f.u.